The following is a DFT calculation (PBE) of a geometry-optimized AcPr2IO8 structure.

Properties
Space-group type: No. 10
Spin magnetization (μB per formula unit): 0.00
ΔE_f (raw) (eV per atom): -2.218

Cell: 5.245 7.294 5.256 Å, 90.00 90.52 90.00°
Positions (direct):
Ac  0.000  0.000  0.000
Pr  0.500  0.255  0.500
Pr  0.500  0.745  0.500
I  0.000  0.500  0.000
O  0.178  0.308  0.179
O  0.178  0.692  0.179
O  0.256  0.500  0.746
O  0.319  0.000  0.683
O  0.681  0.000  0.317
O  0.744  0.500  0.254
O  0.822  0.308  0.821
O  0.822  0.692  0.821

***

The following is a DFT calculation (PBE) of a geometry-optimized Al3TcRu structure.

Properties
Distance to the lowest polymorph of the same formula (eV/atom): 0.000
Space-group type: No. 221
Spin magnetization (μB per formula unit): 3.19

Cell: 4.590 4.590 4.590 Å, 90.00 90.00 90.00°
Positions (direct):
Al  0.000  0.000  0.500
Al  0.000  0.500  0.000
Al  0.500  0.000  0.000
Tc  0.500  0.500  0.500
Ru  0.000  0.000  0.000

***

The following is a DFT calculation (PBE) of a geometry-optimized Zr3MnCd structure.

Properties
Distance to the lowest polymorph of the same formula (eV/atom): 1.509
Space-group type: No. 221
Spin magnetization (μB per formula unit): 0.40

Cell: 5.168 5.168 5.168 Å, 90.00 90.00 90.00°
Positions (direct):
Zr  0.000  0.000  0.500
Zr  0.000  0.500  0.000
Zr  0.500  0.000  0.000
Mn  0.500  0.500  0.500
Cd  0.000  0.000  0.000